Na3MgMn2Se6: relaxed, PBE-GGA.

The space group is C2/m (No. 12) and the conventional cell measures 6.617, 11.470 and 7.275 Å, with angles of 90.00, 107.81 and 90.00 degrees. The inequivalent atoms are Na at (0.000, 0.000, 0.000), Na at (0.000, 0.337, 0.000), Mg at (0.000, 0.500, 0.500), Mn at (0.000, 0.167, 0.500), Se at (0.215, 0.000, 0.705) and Se at (0.246, 0.324, 0.704).

The value obtained for the uncorrected formation energy is -0.839 eV per atom. The total magnetization comes out at 7.00 μB per formula unit. For the density of states at the Fermi level, the calculation gives 8.2 states/eV/cell. As for the total energy: -4.572 eV/atom.


NaMgMnTe3: relaxed, PBE-GGA.

The space group is P2_1/m (No. 11) and the conventional cell measures 7.965, 4.111 and 11.763 Å, with angles of 90.00, 103.66 and 90.00 degrees. The inequivalent atoms are Na at (0.144, 0.250, 0.170), Mg at (0.398, 0.250, 0.886), Mn at (0.164, 0.750, 0.613), Te at (0.059, 0.750, 0.366), Te at (0.247, 0.750, 0.987) and Te at (0.398, 0.250, 0.648).

The value obtained for the uncorrected formation energy is -0.553 eV per atom. The total magnetization comes out at 4.00 μB per formula unit. For the density of states at the Fermi level, the calculation gives 1.5 states/eV/cell. As for the total energy: -4.138 eV/atom.


Na2MgTiMn: relaxed, PBE-GGA.

The space group is P4/mmm (No. 123) and the conventional cell measures 5.486, 5.486 and 4.454 Å, with angles of 90.00, 90.00 and 90.00 degrees. The inequivalent atoms are Na at (0.000, 0.500, 0.000), Mg at (0.000, 0.000, 0.500), Ti at (0.500, 0.500, 0.500) and Mn at (0.500, 0.500, 0.000).

The calculation puts the energy of formation at 396.6 kJ/mol of formula units. The total magnetization comes out at 1.27 μB per formula unit. For the density of states at the Fermi level, the calculation gives 4.0 states/eV/cell. As for the total energy: -3.437 eV/atom.


NaY2MgMn: relaxed, PBE-GGA.

The space group is P4/mmm (No. 123) and the conventional cell measures 5.437, 5.437 and 4.782 Å, with angles of 90.00, 90.00 and 90.00 degrees. The inequivalent atoms are Na at (0.000, 0.000, 0.000), Y at (0.000, 0.500, 0.000), Mg at (0.000, 0.000, 0.500) and Mn at (0.500, 0.500, 0.500).

The calculation puts the energy of formation at 714.1 kJ/mol of formula units. The total magnetization comes out at 0.88 μB per formula unit. For the density of states at the Fermi level, the calculation gives 7.3 states/eV/cell. As for the total energy: -3.522 eV/atom.


NaMgMn2Zn: relaxed, PBE-GGA.

The space group is P4/mmm (No. 123) and the conventional cell measures 4.866, 4.866 and 4.781 Å, with angles of 90.00, 90.00 and 90.00 degrees. The inequivalent atoms are Na at (0.000, 0.000, 0.000), Mg at (0.500, 0.500, 0.500), Mn at (0.000, 0.500, 0.000) and Zn at (0.000, 0.000, 0.500).

The calculation puts the energy of formation at 610.1 kJ/mol of formula units. The total magnetization comes out at 7.88 μB per formula unit. For the density of states at the Fermi level, the calculation gives 5.7 states/eV/cell. As for the total energy: -3.241 eV/atom.


Mg6MnNb: relaxed, PBE-GGA.

The space group is Amm2 (No. 38) and the conventional cell measures 4.822, 6.037 and 11.067 Å, with angles of 90.00, 90.00 and 90.00 degrees. The inequivalent atoms are Mg at (0.000, 0.000, 0.000), Mg at (0.000, 0.241, 0.252), Mg at (0.500, 0.000, 0.843), Mg at (0.500, 0.244, 0.599), Mn at (0.000, 0.000, 0.481) and Nb at (0.500, 0.000, 0.366).

The calculation puts the energy of formation at 142.0 kJ/mol of formula units. The calculation puts the excess energy over the best structure of this formula in the dataset at 0.000 eV per atom. The total magnetization comes out at 2.44 μB per formula unit. For the density of states at the Fermi level, the calculation gives 9.7 states/eV/cell. As for the total energy: -3.417 eV/atom.


MgMnNb3: relaxed, PBE-GGA.

The space group is Pm-3m (No. 221) and the conventional cell measures 4.681, 4.681 and 4.681 Å, with angles of 90.00, 90.00 and 90.00 degrees. The inequivalent atoms are Mg at (0.000, 0.000, 0.000), Mn at (0.500, 0.500, 0.500) and Nb at (0.000, 0.000, 0.500).

The calculation puts the energy of formation at 1045.9 kJ/mol of formula units. The calculation puts the excess energy over the best structure of this formula in the dataset at 1.540 eV per atom. The total magnetization comes out at 0.81 μB per formula unit. For the density of states at the Fermi level, the calculation gives 9.5 states/eV/cell. As for the total energy: -6.027 eV/atom.


Mg3MnNb: relaxed, PBE-GGA.

The space group is Pm-3m (No. 221) and the conventional cell measures 4.676, 4.676 and 4.676 Å, with angles of 90.00, 90.00 and 90.00 degrees. The inequivalent atoms are Mg at (0.000, 0.000, 0.500), Mn at (0.000, 0.000, 0.000) and Nb at (0.500, 0.500, 0.500).

The calculation puts the energy of formation at 588.6 kJ/mol of formula units. The total magnetization comes out at 0.00 μB per formula unit. For the density of states at the Fermi level, the calculation gives 10.3 states/eV/cell. As for the total energy: -3.585 eV/atom.


Question: What is the total magnetization in the first record?
Answer: 7.00 μB per formula unit


Question: The lowest total magnetization belongs to which entry?
Answer: Mg3MnNb


Question: Which of these has the highest total magnetization?
Answer: NaMgMn2Zn